Below is TiBe8Fe3 after structural relaxation, with properties calculated at the PBE level.

Results
total moment: 3.586 μB/f.u.
energy: -66.69 eV/cell
formation energy: -300 meV per atom
N(E_F): 3.817 states/eV/cell

Unit cell a=4.232 b=4.232 c=6.921 alpha=90.00 beta=90.00 gamma=120.00
Fractional positions:
Ti: 0.000 0.000 0.000
Be: 0.165 0.329 0.682
Be: 0.165 0.835 0.682
Be: 0.333 0.667 0.440
Be: 0.333 0.667 0.934
Be: 0.504 0.007 0.198
Be: 0.504 0.496 0.198
Be: 0.671 0.835 0.682
Be: 0.993 0.496 0.198
Fe: 0.000 0.000 0.375
Fe: 0.667 0.333 0.502
Fe: 0.667 0.333 0.875